1.
Crystalline TbSmH4 at its relaxed geometry, computed with GGA-PBE.

Cell and atoms, written as POSCAR:
```
TbSmH4
1.0
3.740 0.000 0.000
0.000 3.740 0.000
0.000 0.000 5.303
Tb Sm H
1 1 4
Direct
0.000 0.000 0.000 Tb
0.500 0.500 0.500 Sm
0.000 0.500 0.242 H
0.000 0.500 0.758 H
0.500 0.000 0.242 H
0.500 0.000 0.758 H
```


2.
Crystalline Tb3SmH at its relaxed geometry, computed with GGA-PBE.

Cell and atoms, written as POSCAR:
```
Tb3SmH
1.0
5.027 0.000 0.000
0.000 5.027 0.000
0.000 0.000 5.027
Tb Sm H
3 1 1
Direct
0.000 0.000 0.500 Tb
0.000 0.500 0.000 Tb
0.500 0.000 0.000 Tb
0.500 0.500 0.500 Sm
0.000 0.000 0.000 H
```


3.
Crystalline TbSm2H at its relaxed geometry, computed with GGA-PBE.

Cell and atoms, written as POSCAR:
```
TbSm2H
1.0
3.407 0.000 0.000
0.000 3.407 0.000
0.000 0.000 8.571
Tb Sm H
1 2 1
Direct
0.000 0.000 0.000 Tb
0.500 0.500 0.309 Sm
0.500 0.500 0.691 Sm
0.000 0.000 0.500 H
```


4.
Crystalline TbSm2H at its relaxed geometry, computed with GGA-PBE.

Cell and atoms, written as POSCAR:
```
TbSm2H
1.0
1.829 1.056 8.656
-1.829 1.056 8.656
0.000 -2.112 8.656
Tb Sm H
1 2 1
Direct
0.000 0.000 0.000 Tb
0.222 0.222 0.222 Sm
0.778 0.778 0.778 Sm
0.500 0.500 0.500 H
```


5.
Crystalline Tb2SmH at its relaxed geometry, computed with GGA-PBE.

Cell and atoms, written as POSCAR:
```
Tb2SmH
1.0
3.374 0.000 0.000
0.000 3.374 0.000
0.000 0.000 8.564
Tb Sm H
2 1 1
Direct
0.000 0.000 0.189 Tb
0.000 0.000 0.811 Tb
0.500 0.500 0.500 Sm
0.500 0.500 0.000 H
```


6.
Crystalline TbSm2H at its relaxed geometry, computed with GGA-PBE.

Cell and atoms, written as POSCAR:
```
TbSm2H
1.0
1.822 1.052 8.705
-1.822 1.052 8.705
0.000 -2.104 8.705
Tb Sm H
1 2 1
Direct
0.000 0.000 0.000 Tb
0.222 0.222 0.222 Sm
0.445 0.445 0.445 Sm
0.833 0.833 0.833 H
```


7.
Crystalline TbSm3H8 at its relaxed geometry, computed with GGA-PBE.

Cell and atoms, written as POSCAR:
```
TbSm3H8
1.0
5.329 0.000 0.000
0.000 5.329 0.000
0.000 0.000 5.329
Tb Sm H
1 3 8
Direct
0.000 0.000 0.000 Tb
0.000 0.500 0.500 Sm
0.500 0.000 0.500 Sm
0.500 0.500 0.000 Sm
0.246 0.246 0.246 H
0.246 0.246 0.754 H
0.246 0.754 0.246 H
0.246 0.754 0.754 H
0.754 0.246 0.246 H
0.754 0.246 0.754 H
0.754 0.754 0.246 H
0.754 0.754 0.754 H
```


8.
Crystalline Tb3Sm5H12 at its relaxed geometry, computed with GGA-PBE.

Cell and atoms, written as POSCAR:
```
Tb3Sm5H12
1.0
-6.659 6.659 6.659
6.659 -6.659 6.659
6.659 6.659 -6.659
Tb Sm H
12 20 48
Direct
0.125 0.250 0.375 Tb
0.125 0.375 0.750 Tb
0.250 0.375 0.125 Tb
0.250 0.875 0.625 Tb
0.375 0.125 0.250 Tb
0.375 0.750 0.125 Tb
0.625 0.250 0.875 Tb
0.625 0.875 0.750 Tb
0.750 0.125 0.375 Tb
0.750 0.625 0.875 Tb
0.875 0.625 0.250 Tb
0.875 0.750 0.625 Tb
0.000 0.000 0.000 Sm
0.000 0.000 0.500 Sm
0.000 0.500 0.000 Sm
0.000 0.500 0.500 Sm
0.125 0.750 0.875 Sm
0.125 0.875 0.250 Sm
0.250 0.125 0.875 Sm
0.250 0.625 0.375 Sm
0.375 0.250 0.625 Sm
0.375 0.625 0.750 Sm
0.500 0.000 0.000 Sm
0.500 0.000 0.500 Sm
0.500 0.500 0.000 Sm
0.500 0.500 0.500 Sm
0.625 0.375 0.250 Sm
0.625 0.750 0.375 Sm
0.750 0.375 0.625 Sm
0.750 0.875 0.125 Sm
0.875 0.125 0.750 Sm
0.875 0.250 0.125 Sm
0.070 0.227 0.157 H
0.070 0.343 0.913 H
0.070 0.727 0.657 H
0.070 0.843 0.413 H
0.087 0.657 0.430 H
0.087 0.930 0.657 H
0.157 0.070 0.227 H
0.157 0.227 0.570 H
0.157 0.430 0.587 H
0.157 0.587 0.930 H
0.227 0.157 0.070 H
0.227 0.570 0.157 H
0.273 0.343 0.930 H
0.273 0.430 0.343 H
0.343 0.273 0.430 H
0.343 0.570 0.913 H
0.343 0.913 0.070 H
0.343 0.930 0.273 H
0.413 0.070 0.843 H
0.413 0.843 0.570 H
0.430 0.087 0.657 H
0.430 0.343 0.273 H
0.430 0.587 0.157 H
0.430 0.843 0.773 H
0.570 0.157 0.227 H
0.570 0.413 0.843 H
0.570 0.657 0.727 H
0.570 0.913 0.343 H
0.587 0.157 0.430 H
0.587 0.930 0.157 H
0.657 0.070 0.727 H
0.657 0.087 0.930 H
0.657 0.430 0.087 H
0.657 0.727 0.570 H
0.727 0.570 0.657 H
0.727 0.657 0.070 H
0.773 0.430 0.843 H
0.773 0.843 0.930 H
0.843 0.413 0.070 H
0.843 0.570 0.413 H
0.843 0.773 0.430 H
0.843 0.930 0.773 H
0.913 0.070 0.343 H
0.913 0.343 0.570 H
0.930 0.157 0.587 H
0.930 0.273 0.343 H
0.930 0.657 0.087 H
0.930 0.773 0.843 H
```


9.
Crystalline Tb2Sm2H at its relaxed geometry, computed with GGA-PBE.

Cell and atoms, written as POSCAR:
```
Tb2Sm2H
1.0
5.048 0.000 0.000
0.000 5.048 0.000
0.000 0.000 5.063
Tb Sm H
2 2 1
Direct
0.000 0.500 0.000 Tb
0.500 0.000 0.000 Tb
0.000 0.000 0.500 Sm
0.500 0.500 0.500 Sm
0.000 0.000 0.000 H
```


10.
Crystalline Tb2SmH at its relaxed geometry, computed with GGA-PBE.

Cell and atoms, written as POSCAR:
```
Tb2SmH
1.0
1.812 1.046 8.577
-1.812 1.046 8.577
0.000 -2.093 8.577
Tb Sm H
2 1 1
Direct
0.220 0.220 0.220 Tb
0.780 0.780 0.780 Tb
0.000 0.000 0.000 Sm
0.500 0.500 0.500 H
```


Looking at E for the records above, in order, we have -4.49, -4.56, -4.26, -4.52, -4.21, -4.51, -4.49, -4.33, -4.58, -4.52 eV per atom.
Looking at volume for the records above, in order, we have 74.2, 127.0, 99.5, 100.3, 97.5, 100.1, 151.3, 295.2, 129.0, 97.6 Å³/f.u..